Record 1
A geometry-optimized UTcOs2 structure. Source: Alexandria via LeMat-Bulk, functional GGA-PBE.

Unit cell a=2.7789 b=2.7789 c=9.7705 alpha=81.82 beta=81.82 gamma=60.00
Each line ends with the local moment (μB).
Positions (direct):
Tc: 0.0000 0.0000 0.0000  0.00
Os: 0.7419 0.7419 0.7743  -0.01
Os: 0.2581 0.2581 0.2257  -0.01
U: 0.5000 0.5000 0.5000  0.31

Computed properties:
The value obtained for the energy above the most stable polymorph in this dataset is 306 meV/atom. The density of states at the Fermi level is 1.376 states/eV per atom. The value obtained for the energy relative to the elements is 0.195 eV per atom.

Record 2
A geometry-optimized Pm8GePb5 structure. Source: Alexandria via LeMat-Bulk, functional GGA-PBE.

Unit cell a=8.2833 b=8.2833 c=8.2833 alpha=109.63 beta=109.15 gamma=109.63
Positions (direct):
Pb: 0.3767 0.1273 0.0053
Pb: 0.9947 0.3714 0.1220
Pb: 0.7506 0.6286 0.6233
Pb: 0.8780 0.8727 0.2494
Pb: 0.5000 0.0000 0.5000
Pm: 0.6202 0.3910 0.8728
Pm: 0.1272 0.7474 0.5182
Pm: 0.2627 0.2604 0.3888
Pm: 0.9976 0.1261 0.7373
Pm: 0.6112 0.8739 0.8715
Pm: 0.4818 0.6090 0.2292
Pm: 0.7708 0.2526 0.3798
Pm: 0.1285 0.7396 0.0024
Ge: 0.2500 0.5000 0.7500

Computed properties:
The density of states at the Fermi level is 0.140 states/eV per atom. The value obtained for the energy relative to the elements is -0.612 eV per atom.

Record 3
A geometry-optimized CdGeSN2 structure. Source: Alexandria via LeMat-Bulk, functional GGA-PBE.

Unit cell a=4.2091 b=4.2091 c=5.5334 alpha=90.00 beta=90.00 gamma=90.00
Each line ends with the local moment (μB).
Positions (direct):
Cd: 0.0000 0.0000 0.0000  0.09
N: 0.5000 0.0000 0.0000  1.13
N: 0.0000 0.5000 0.0000  1.13
S: 0.0000 0.0000 0.5000  0.21
Ge: 0.5000 0.5000 0.5000  -0.10

Computed properties:
The value obtained for the energy above the most stable polymorph in this dataset is 758 meV/atom. The density of states at the Fermi level is 0.403 states/eV per atom. The value obtained for the raw formation energy is 1679.3 meV per atom.

Record 4
A geometry-optimized SiTcRuC structure. Source: Alexandria via LeMat-Bulk, functional GGA-PBE.

Unit cell a=2.7963 b=2.8438 c=12.2207 alpha=90.00 beta=90.00 gamma=90.00
Positions (direct):
Si: 0.0000 0.5000 0.4323
Si: 0.5000 0.0000 0.9323
C: 0.5000 0.5000 0.6876
C: 0.0000 0.0000 0.1876
Ru: 0.5000 0.0000 0.5523
Ru: 0.0000 0.5000 0.0523
Tc: 0.0000 0.0000 0.7522
Tc: 0.5000 0.5000 0.2522

Computed properties:
The value obtained for the energy above the most stable polymorph in this dataset is 18 meV/atom. The density of states at the Fermi level is 0.492 states/eV per atom. The value obtained for the raw formation energy is -5.8 meV per atom.

Record 5
A geometry-optimized Rb2BaBiI6 structure. Source: Alexandria via LeMat-Bulk, functional GGA-PBE.

Unit cell a=9.1073 b=9.1073 c=9.5657 alpha=61.57 beta=61.57 gamma=90.00
Each line ends with the local moment (μB).
Positions (direct):
I: 0.2379 0.2379 0.0000  0.00
I: 0.7387 0.7387 0.5225  0.05
I: 0.2379 0.7621 0.0000  0.01
I: 0.2613 0.2613 0.4775  0.05
I: 0.7621 0.2379 0.0000  0.01
I: 0.7621 0.7621 0.0000  0.00
Bi: 0.0000 0.0000 0.0000  0.53
Rb: 0.7500 0.2500 0.5000  0.00
Rb: 0.2500 0.7500 0.5000  0.00
Ba: 0.5000 0.5000 0.0000  0.02

Computed properties:
The density of states at the Fermi level is 0.000 states/eV per atom. The value obtained for the raw formation energy is -1073.9 meV per atom.

Record 6
A geometry-optimized RbAsO3 structure. Source: Alexandria via LeMat-Bulk, functional GGA-PBE.

Unit cell a=4.3054 b=4.3054 c=4.3054 alpha=90.00 beta=90.00 gamma=90.00
Positions (direct):
O: 0.0000 0.0000 0.5000
O: 0.0000 0.5000 0.0000
O: 0.5000 0.0000 0.0000
Rb: 0.0000 0.0000 0.0000
As: 0.5000 0.5000 0.5000

Computed properties:
The density of states at the Fermi level is 0.410 states/eV per atom. The value obtained for the raw formation energy is 1285.5 meV per atom.